Record 1
First-principles (PBE) data for a geometry-optimized CaTa2Ir2 structure, as listed in Alexandria via LeMat-Bulk.

Calculated values
* DOS(E_F): 4.8 states/eV per cell
* size of the total moment: 0.0 μB per cell
* total DFT energy (no corrections): -0.333 Ha/atom
* energy relative to the lowest polymorph listed for this composition: 162.2 meV per atom
* ΔE_f: -0.36 eV per atom

a b c (Å): 8.048 8.048 2.855
angles (deg): 90.00 90.00 90.00
Atoms (fractional coordinates):
Ca 0.000 0.000 0.000
Ca 0.500 0.500 0.000
Ir 0.154 0.654 0.500
Ir 0.654 0.846 0.500
Ir 0.846 0.346 0.500
Ir 0.346 0.154 0.500
Ta 0.361 0.861 0.000
Ta 0.861 0.639 0.000
Ta 0.639 0.139 0.000
Ta 0.139 0.361 0.000

Record 2
First-principles (PBE) data for a geometry-optimized CaTa2Ir structure, as listed in Alexandria via LeMat-Bulk.

Calculated values
* DOS(E_F): 5.1 states/eV per cell
* size of the total moment: 0.0 μB per cell
* total DFT energy (no corrections): -0.306 Ha/atom
* energy relative to the lowest polymorph listed for this composition: 354.9 meV per atom
* ΔE_f: 0.33 eV per atom

a b c (Å): 4.718 4.718 4.718
angles (deg): 60.00 60.00 60.00
Atoms (fractional coordinates):
Ca 0.500 0.500 0.500
Ir 0.750 0.750 0.750
Ta 0.000 0.000 0.000
Ta 0.250 0.250 0.250

Record 3
First-principles (PBE) data for a geometry-optimized Ca2TaIr2 structure, as listed in Alexandria via LeMat-Bulk.

Calculated values
* DOS(E_F): 7.4 states/eV per cell
* size of the total moment: 0.0 μB per cell
* total DFT energy (no corrections): -0.233 Ha/atom
* energy relative to the lowest polymorph listed for this composition: 675.5 meV per atom
* ΔE_f: 0.37 eV per atom

a b c (Å): 8.066 8.066 2.961
angles (deg): 90.00 90.00 90.00
Atoms (fractional coordinates):
Ca 0.380 0.880 0.000
Ca 0.880 0.620 0.000
Ca 0.620 0.120 0.000
Ca 0.120 0.380 0.000
Ir 0.186 0.686 0.500
Ir 0.686 0.814 0.500
Ir 0.814 0.314 0.500
Ir 0.314 0.186 0.500
Ta 0.000 0.000 0.000
Ta 0.500 0.500 0.000

Record 4
First-principles (PBE) data for a geometry-optimized CaTa2Ir structure, as listed in Alexandria via LeMat-Bulk.

Calculated values
* DOS(E_F): 4.1 states/eV per cell
* size of the total moment: 0.0 μB per cell
* total DFT energy (no corrections): -0.305 Ha/atom
* energy relative to the lowest polymorph listed for this composition: 379.4 meV per atom
* ΔE_f: 0.35 eV per atom

a b c (Å): 5.619 5.619 5.619
angles (deg): 138.92 138.92 59.50
Atoms (fractional coordinates):
Ca 0.250 0.750 0.500
Ir 0.750 0.250 0.500
Ta 0.000 0.000 0.000
Ta 0.500 0.500 0.000

Record 5
First-principles (PBE) data for a geometry-optimized CaTa2Ir structure, as listed in Alexandria via LeMat-Bulk.

Calculated values
* DOS(E_F): 3.7 states/eV per cell
* size of the total moment: 0.0 μB per cell
* total DFT energy (no corrections): -0.303 Ha/atom
* energy relative to the lowest polymorph listed for this composition: 433.5 meV per atom
* ΔE_f: 0.41 eV per atom

a b c (Å): 5.497 5.497 2.858
angles (deg): 90.00 90.00 120.06
Atoms (fractional coordinates):
Ca 0.500 0.000 0.500
Ir 0.000 0.500 0.500
Ta 0.000 0.000 0.000
Ta 0.500 0.500 0.000

Record 6
First-principles (PBE) data for a geometry-optimized CaTa2Ir structure, as listed in Alexandria via LeMat-Bulk.

Calculated values
* DOS(E_F): 4.1 states/eV per cell
* size of the total moment: 0.1 μB per cell
* total DFT energy (no corrections): -0.319 Ha/atom
* energy relative to the lowest polymorph listed for this composition: 0.0 meV per atom
* ΔE_f: -0.03 eV per atom

a b c (Å): 3.116 3.116 8.457
angles (deg): 90.00 90.00 90.00
Atoms (fractional coordinates):
Ca 0.000 0.000 0.534
Ir 0.500 0.500 0.795
Ta 0.000 0.000 0.971
Ta 0.500 0.500 0.200

Record 7
First-principles (PBE) data for a geometry-optimized CaTa2Ir structure, as listed in Alexandria via LeMat-Bulk.

Calculated values
* DOS(E_F): 3.6 states/eV per cell
* size of the total moment: 0.0 μB per cell
* total DFT energy (no corrections): -0.306 Ha/atom
* energy relative to the lowest polymorph listed for this composition: 352.2 meV per atom
* ΔE_f: 0.33 eV per atom

a b c (Å): 10.284 10.284 10.284
angles (deg): 16.58 16.58 16.58
Atoms (fractional coordinates):
Ca 0.250 0.250 0.250
Ir 0.750 0.750 0.750
Ta 0.011 0.011 0.011
Ta 0.489 0.489 0.489

Record 8
First-principles (PBE) data for a geometry-optimized CaTa2Ir structure, as listed in Alexandria via LeMat-Bulk.

Calculated values
* DOS(E_F): 3.7 states/eV per cell
* size of the total moment: 0.0 μB per cell
* total DFT energy (no corrections): -0.308 Ha/atom
* energy relative to the lowest polymorph listed for this composition: 276.6 meV per atom
* ΔE_f: 0.25 eV per atom

a b c (Å): 4.746 2.928 5.505
angles (deg): 77.91 90.00 90.00
Atoms (fractional coordinates):
Ca 0.500 0.250 0.250
Ir 0.500 0.750 0.750
Ta 0.000 0.974 0.981
Ta 0.000 0.526 0.519

Record 9
First-principles (PBE) data for a geometry-optimized CaTa2Ir structure, as listed in Alexandria via LeMat-Bulk.

Calculated values
* DOS(E_F): 3.3 states/eV per cell
* size of the total moment: 0.0 μB per cell
* total DFT energy (no corrections): -0.305 Ha/atom
* energy relative to the lowest polymorph listed for this composition: 371.9 meV per atom
* ΔE_f: 0.35 eV per atom

a b c (Å): 4.663 4.663 4.663
angles (deg): 60.00 60.00 60.00
Atoms (fractional coordinates):
Ca 0.000 0.000 0.000
Ir 0.500 0.500 0.500
Ta 0.250 0.250 0.250
Ta 0.750 0.750 0.750

Record 10
First-principles (PBE) data for a geometry-optimized CaTa2Ir structure, as listed in Alexandria via LeMat-Bulk.

Calculated values
* DOS(E_F): 3.7 states/eV per cell
* size of the total moment: 0.0 μB per cell
* total DFT energy (no corrections): -0.309 Ha/atom
* energy relative to the lowest polymorph listed for this composition: 268.9 meV per atom
* ΔE_f: 0.24 eV per atom

a b c (Å): 9.646 9.646 9.646
angles (deg): 18.62 18.62 18.62
Atoms (fractional coordinates):
Ca 0.494 0.494 0.494
Ir 0.741 0.741 0.741
Ta 0.005 0.005 0.005
Ta 0.260 0.260 0.260

Record 11
First-principles (PBE) data for a geometry-optimized CaTa2Ir structure, as listed in Alexandria via LeMat-Bulk.

Calculated values
* DOS(E_F): 5.3 states/eV per cell
* size of the total moment: 0.0 μB per cell
* total DFT energy (no corrections): -0.309 Ha/atom
* energy relative to the lowest polymorph listed for this composition: 252.9 meV per atom
* ΔE_f: 0.23 eV per atom

a b c (Å): 5.319 5.319 5.536
angles (deg): 75.36 75.36 32.66
Atoms (fractional coordinates):
Ca 0.518 0.518 0.465
Ir 0.276 0.276 0.216
Ta 0.983 0.983 0.989
Ta 0.723 0.723 0.830

Record 12
First-principles (PBE) data for a geometry-optimized Ca2TaIr2 structure, as listed in Alexandria via LeMat-Bulk.

Calculated values
* DOS(E_F): 7.8 states/eV per cell
* size of the total moment: 0.0 μB per cell
* total DFT energy (no corrections): -0.258 Ha/atom
* energy relative to the lowest polymorph listed for this composition: 0.0 meV per atom
* ΔE_f: -0.30 eV per atom

a b c (Å): 6.711 6.711 4.831
angles (deg): 90.00 90.00 90.00
Atoms (fractional coordinates):
Ca 0.176 0.676 0.500
Ca 0.676 0.824 0.500
Ca 0.824 0.324 0.500
Ca 0.324 0.176 0.500
Ir 0.368 0.868 0.000
Ir 0.868 0.632 0.000
Ir 0.632 0.132 0.000
Ir 0.132 0.368 0.000
Ta 0.000 0.000 0.000
Ta 0.500 0.500 0.000

Record 13
First-principles (PBE) data for a geometry-optimized CaTa2Ir structure, as listed in Alexandria via LeMat-Bulk.

Calculated values
* DOS(E_F): 3.8 states/eV per cell
* size of the total moment: 0.0 μB per cell
* total DFT energy (no corrections): -0.307 Ha/atom
* energy relative to the lowest polymorph listed for this composition: 315.5 meV per atom
* ΔE_f: 0.29 eV per atom

a b c (Å): 5.371 5.609 2.883
angles (deg): 81.08 77.70 115.09
Atoms (fractional coordinates):
Ca 0.000 0.500 0.500
Ir 0.500 0.500 0.000
Ta 0.000 0.000 0.000
Ta 0.500 0.000 0.500

Record 14
First-principles (PBE) data for a geometry-optimized CaTa2Ir structure, as listed in Alexandria via LeMat-Bulk.

Calculated values
* DOS(E_F): 3.5 states/eV per cell
* size of the total moment: 0.0 μB per cell
* total DFT energy (no corrections): -0.309 Ha/atom
* energy relative to the lowest polymorph listed for this composition: 273.0 meV per atom
* ΔE_f: 0.25 eV per atom

a b c (Å): 3.201 4.648 5.003
angles (deg): 90.00 90.00 90.00
Atoms (fractional coordinates):
Ca 0.500 0.000 0.500
Ir 0.000 0.500 0.500
Ta 0.000 0.000 0.000
Ta 0.500 0.500 0.000